First-principles (PBE+U) data for SrMnSe2O6 after structural relaxation, as listed in the Alexandria database.

Calculated values
Space-group type: P2_1/c, No. 14
D(E_F), states/eV/f.u.: 0.00
Energy, eV per atom: -6.169
Magnetization, μB/atom: 0.500

```
SrMnSe2O6
1.0
-5.805 -13.270 4.314
3.439 -0.580 2.842
-2.160 4.010 9.429
Sr Mn Se O
4 4 8 24
Cartesian
-3.868 -9.981 10.884
-3.290 -1.404 11.570
-0.657 0.140 5.702
-1.235 -8.436 5.015
-0.951 -3.717 5.612
-3.574 -6.123 10.974
-0.915 0.840 9.497
-3.610 -10.680 7.089
-5.424 -7.088 13.171
0.899 -2.752 3.414
-0.204 -6.043 7.514
1.598 2.550 10.087
-3.782 -7.807 8.039
-0.744 -2.033 8.547
-4.322 -3.797 9.072
-6.124 -12.390 6.499
-1.535 -2.209 7.018
-4.735 -12.507 7.518
0.541 -4.353 4.033
-1.485 -5.682 6.415
-2.200 1.521 7.859
-1.884 -1.178 9.526
-5.067 -5.488 12.552
-2.641 -8.662 7.060
-6.419 -10.498 10.389
-1.732 -3.158 12.804
-0.268 -1.955 4.412
-2.793 -6.682 3.781
1.894 0.658 6.197
-2.990 -7.632 9.568
-2.036 1.121 11.302
0.210 2.667 9.068
-2.326 -11.361 8.726
-1.850 -5.799 12.285
-2.489 -10.961 5.284
-4.258 -7.885 12.174
-2.676 -4.041 4.301
-4.745 -9.226 8.401
0.220 -0.614 8.185
-3.040 -4.158 10.170
```